The following is a PBE calculation of a relaxed Ba3PSe crystal, from Alexandria.

abc: 7.964 7.964 4.223
angles: 90.00 90.00 120.00
Fractional positions:
Ba 0.014 0.630 0.000
Ba 0.370 0.384 0.000
Ba 0.616 0.986 0.000
P 0.333 0.667 0.500
Se 0.667 0.333 0.500

Results
DOS at the Fermi energy: 0.278 states/eV per atom
Space group: P-6, No. 174
E_form (uncorrected): -1165 meV per atom
Excess energy over the best structure of this formula in the dataset: 0.000 eV per atom
Electronic total energy: -4.097 eV per atom